[1]
NiMo2P after structural relaxation, computed with PBE.

Results
As for the energy: -0.62055 Ry per atom. The total moment comes out at 0.00 Bohr magnetons per cell. The calculation puts the formation enthalpy at 0 K at -22.2 kJ/mol of atoms. Its density of states at the Fermi level is 3.5 states/eV/cell. Its volume is 54 Å³ per cell.

a = 3.4476 Å, b = 3.4187 Å, c = 4.9311 Å
α = 69.58°, β = 90.00°, γ = 90.00°
Last column: nearest neighbours and their distance in Å.
Fractional coordinates of all 4 atoms:
Ni (0.0000, 0.6929, 0.4891)  2 P 2.15
Mo (0.5000, 0.2873, 0.3037)  3 P 2.48-2.74, 4 Ni 2.57-2.58
Mo (0.0000, 0.9662, 0.9395)  3 Ni 2.54-2.69, 4 P 2.55-2.56
P (0.5000, 0.5535, 0.7677)  2 Ni 2.15

[2]
RbMoCl4 after structural relaxation, computed with PBE.

Results
As for the energy: -0.31790 Ry per atom. The value obtained for the raw formation energy is -1.13 eV/atom. The total moment comes out at 6.00 Bohr magnetons per cell. Its volume is 406 Å³ per cell.

a = 6.7762 Å, b = 7.5710 Å, c = 9.9255 Å
α = 112.42°, β = 117.96°, γ = 90.00°
Last column: nearest neighbours and their distance in Å.
Fractional coordinates of all 12 atoms:
Cl (0.7541, 0.3019, 0.6039)  1 Mo 2.34
Cl (0.2823, 0.1599, 0.7681)  1 Mo 2.38
Cl (0.2823, 0.6082, 0.7681)  1 Mo 2.38
Cl (0.0000, 0.2795, 0.0000)  2 Mo 2.51
Cl (0.2459, 0.6981, 0.3961)  1 Mo 2.34
Cl (0.0000, 0.7205, 0.0000)  2 Mo 2.51
Cl (0.7177, 0.3918, 0.2319)  1 Mo 2.38
Cl (0.7177, 0.8401, 0.2319)  1 Mo 2.38
Rb (0.1658, 0.2057, 0.4113)  5 Cl 3.35-3.44
Rb (0.8342, 0.7943, 0.5887)  5 Cl 3.35-3.44
Mo (0.1134, 0.4260, 0.8519)  5 Cl 2.34-2.51
Mo (0.8866, 0.5740, 0.1481)  5 Cl 2.34-2.51

[3]
Dy2Tm3Sc3 after structural relaxation, computed with PBE.

Results
As for the energy: -0.37865 Ry per atom. The calculation puts the relative energy among the computed polymorphs at 0 meV/atom. The total moment comes out at 0.00 Bohr magnetons per cell. The calculation puts the formation enthalpy at 0 K at 4.8 kJ/mol of atoms. Its density of states at the Fermi level is 12.9 states/eV/cell. Its volume is 226 Å³ per cell.

a = 4.7975 Å, b = 4.8633 Å, c = 10.2582 Å
α = 103.71°, β = 103.52°, γ = 90.00°
Last column: nearest neighbours and their distance in Å.
Fractional coordinates of all 8 atoms:
Tm (0.3783, 0.3783, 0.7565)  6 Sc 3.36-3.42, 2 Tm 3.39, 4 Dy 3.46
Tm (0.5000, 0.0000, 0.0000)  8 Sc 3.38-3.42, 4 Tm 3.39
Tm (0.6217, 0.6217, 0.2435)  6 Sc 3.36-3.42, 2 Tm 3.39, 4 Dy 3.46
Dy (0.7493, 0.2493, 0.4986)  4 Dy 3.42, 4 Sc 3.42-3.47, 4 Tm 3.46
Dy (0.2507, 0.7507, 0.5014)  4 Dy 3.42, 4 Sc 3.42-3.47, 4 Tm 3.46
Sc (0.8771, 0.8771, 0.7541)  6 Tm 3.38-3.42, 2 Sc 3.40, 4 Dy 3.42-3.47
Sc (0.1229, 0.1229, 0.2459)  6 Tm 3.38-3.42, 2 Sc 3.40, 4 Dy 3.42-3.47
Sc (0.0000, 0.5000, 0.0000)  8 Tm 3.36-3.42, 4 Sc 3.40

[4]
Li2InGa2Ag2 after structural relaxation, computed with PBE.

Results
As for the energy: -0.20293 Ry per atom. The total moment comes out at 0.00 Bohr magnetons per cell. The calculation puts the formation enthalpy at 0 K at -13.8 kJ/mol of atoms. Its density of states at the Fermi level is 2.8 states/eV/cell. Its volume is 123 Å³ per cell.

a = 4.6657 Å, b = 4.6657 Å, c = 7.0772 Å
α = 70.75°, β = 70.75°, γ = 60.00°
Last column: nearest neighbours and their distance in Å.
Fractional coordinates of all 7 atoms:
Ga (0.1447, 0.1447, 0.5660)  1 Li 2.69, 3 Ga 2.83, 1 In 2.84, 3 Ag 2.90
Ga (0.8553, 0.8553, 0.4340)  1 Li 2.69, 3 Ga 2.83, 1 In 2.84, 3 Ag 2.90
Li (0.2816, 0.2816, 0.1552)  1 Ga 2.69, 4 Ag 2.78-2.80, 3 In 2.88
Li (0.7184, 0.7184, 0.8448)  1 Ga 2.69, 4 Ag 2.78-2.80, 3 In 2.88
Ag (0.4233, 0.4233, 0.7302)  4 Li 2.78-2.80, 3 Ga 2.90, 1 Ag 3.01
Ag (0.5767, 0.5767, 0.2698)  4 Li 2.78-2.80, 3 Ga 2.90, 1 Ag 3.01
In (0.0000, 0.0000, 0.0000)  2 Ga 2.84, 6 Li 2.88

[5]
OsW2 after structural relaxation, computed with PBE.

Results
As for the energy: -0.89130 Ry per atom. The calculation puts the relative energy among the computed polymorphs at 250 meV/atom. The total moment comes out at 0.00 Bohr magnetons per cell. The calculation puts the formation enthalpy at 0 K at 24.3 kJ/mol of atoms. Its density of states at the Fermi level is 5.0 states/eV/cell. Its volume is 98 Å³ per cell.

a = 5.0800 Å, b = 5.0800 Å, c = 5.0800 Å
α = 104.54°, β = 104.54°, γ = 119.86°
Last column: nearest neighbours and their distance in Å.
Fractional coordinates of all 6 atoms:
Os (0.2500, 0.2500, 0.0000)  2 Os 2.55, 8 W 2.68
Os (0.7500, 0.7500, 0.0000)  2 Os 2.55, 8 W 2.68
W (0.1511, 0.6511, 0.8022)  1 W 2.66, 4 Os 2.68
W (0.3489, 0.1511, 0.5000)  1 W 2.66, 4 Os 2.68
W (0.6511, 0.8489, 0.5000)  1 W 2.66, 4 Os 2.68
W (0.8489, 0.3489, 0.1978)  1 W 2.66, 4 Os 2.68

[6]
Pm2YCo after structural relaxation, computed with PBE.

Results
As for the energy: -0.43131 Ry per atom. The calculation puts the relative energy among the computed polymorphs at 0 meV/atom. The total moment comes out at 0.00 Bohr magnetons per cell. The calculation puts the formation enthalpy at 0 K at -9.7 kJ/mol of atoms. Its density of states at the Fermi level is 20.4 states/eV/cell. Its volume is 434 Å³ per cell.

a = 6.2586 Å, b = 7.0588 Å, c = 9.8341 Å
α = 90.00°, β = 90.00°, γ = 90.00°
Last column: nearest neighbours and their distance in Å.
Fractional coordinates of all 16 atoms:
Y (0.3493, 0.4579, 0.7500)  2 Co 2.74-2.77
Y (0.8493, 0.0421, 0.2500)  2 Co 2.74-2.77
Y (0.1507, 0.9579, 0.7500)  2 Co 2.74-2.77
Y (0.6507, 0.5421, 0.2500)  2 Co 2.74-2.77
Pm (0.3249, 0.1752, 0.0698)  2 Co 2.81-2.85
Pm (0.3249, 0.1752, 0.4302)  2 Co 2.81-2.85
Pm (0.8249, 0.3248, 0.5698)  2 Co 2.81-2.85
Pm (0.1751, 0.6752, 0.0698)  2 Co 2.81-2.85
Pm (0.6751, 0.8248, 0.9302)  2 Co 2.81-2.85
Pm (0.6751, 0.8248, 0.5698)  2 Co 2.81-2.85
Pm (0.1751, 0.6752, 0.4302)  2 Co 2.81-2.85
Pm (0.8249, 0.3248, 0.9302)  2 Co 2.81-2.85
Co (0.5567, 0.1155, 0.7500)  2 Y 2.74-2.77, 4 Pm 2.81-2.85
Co (0.9433, 0.6155, 0.7500)  2 Y 2.74-2.77, 4 Pm 2.81-2.85
Co (0.0567, 0.3845, 0.2500)  2 Y 2.74-2.77, 4 Pm 2.81-2.85
Co (0.4433, 0.8845, 0.2500)  2 Y 2.74-2.77, 4 Pm 2.81-2.85